[1]
Density functional theory data (SCAN) for a PBEsol-optimized structure of PuSbTe.

Results
The uncorrected formation energy is -722 meV/atom. Its total energy is -62.2728 eV/atom.

Geometry as POSCAR:
```
PuSbTe
1.0
4.251 0.000 0.000
0.000 4.251 0.000
0.000 0.000 8.763
Sb Pu Te
2 2 2
Cartesian
2.126 2.126 0.000 Sb
0.000 0.000 0.000 Sb
2.126 0.000 2.439 Pu
0.000 2.126 6.324 Pu
0.000 2.126 3.169 Te
2.126 0.000 5.594 Te
```



[2]
Density functional theory data (SCAN) for a PBEsol-optimized structure of Pu3Se4.

Results
The uncorrected formation energy is -1479 meV/atom. Its total energy is -60.1560 eV/atom.

Geometry as POSCAR:
```
Pu3Se4
1.0
7.398 0.000 0.000
-2.466 6.975 0.000
-2.466 -3.487 6.040
Se Pu
8 6
Cartesian
2.094 -0.691 3.020 Se
4.815 0.000 0.000 Se
-1.605 2.961 0.912 Se
-0.372 -0.526 5.129 Se
-2.838 1.217 3.932 Se
1.116 0.000 0.000 Se
3.327 4.705 2.109 Se
0.861 2.796 3.020 Se
1.849 1.308 5.285 Pu
3.082 1.744 1.510 Pu
-0.616 0.436 2.265 Pu
-1.849 3.923 3.775 Pu
0.616 4.795 0.755 Pu
4.315 -1.744 4.530 Pu
```



[3]
Density functional theory data (SCAN) for a PBEsol-optimized structure of PuSe2.

Results
The uncorrected formation energy is -1208 meV/atom. Its total energy is -51.3076 eV/atom.

Geometry as POSCAR:
```
PuSe2
1.0
-2.633 -0.316 -3.036
-0.816 -3.791 1.101
-5.852 2.654 4.799
Se Pu
4 2
Cartesian
-4.153 -0.197 3.623 Se
0.000 0.000 0.000 Se
-1.724 -2.053 -0.967 Se
-3.423 0.797 0.209 Se
-2.019 -1.165 1.872 Pu
-5.557 1.765 1.960 Pu
```



[4]
Density functional theory data (SCAN) for a PBEsol-optimized structure of PuSe.

Results
The uncorrected formation energy is -1392 meV/atom. Its total energy is -66.5013 eV/atom.

Geometry as POSCAR:
```
PuSe
1.0
-1.480 -3.551 -1.274
2.296 -3.334 0.182
-0.867 -2.913 2.681
Se Pu
1 1
Cartesian
-0.025 -4.899 0.795 Se
0.000 0.000 0.000 Pu
```



[5]
Density functional theory data (SCAN) for a PBEsol-optimized structure of PuSi2.

Results
The uncorrected formation energy is -249 meV/atom. Its total energy is -43.6400 eV/atom.

Geometry as POSCAR:
```
PuSi2
1.0
4.042 0.000 0.000
-2.021 3.501 0.000
0.000 0.000 3.711
Si Pu
2 1
Cartesian
0.000 2.334 1.855 Si
2.021 1.167 1.855 Si
0.000 0.000 0.000 Pu
```



[6]
Density functional theory data (SCAN) for a PBEsol-optimized structure of Pu3Si2.

Results
The uncorrected formation energy is -98 meV/atom. Its total energy is -70.1886 eV/atom.

Geometry as POSCAR:
```
Pu3Si2
1.0
-2.905 2.617 -0.746
-1.992 -3.880 -5.850
-4.573 -3.896 4.141
Pu Si
6 4
Cartesian
-4.917 -2.034 1.391 Pu
-6.559 -4.524 -0.950 Pu
-2.912 -0.634 -1.506 Pu
-3.283 -3.888 -0.854 Pu
-4.554 -3.124 -3.846 Pu
0.000 0.000 0.000 Pu
-1.991 -1.946 0.925 Si
-4.817 -4.944 1.412 Si
-1.749 -2.831 -3.121 Si
-4.575 -5.829 -2.634 Si
```